The following is a GGA+U calculation of crystalline Li2Mn3FeO8 at its relaxed geometry, from Alexandria.

CIF file:
```
data_Li2Mn3FeO8
_space_group_name_H-M_alt 'P 43 21 2'
_space_group_IT_number 96
_space_group_name_Hall 'P 4nw 2abw'
_cell_length_a 8.3277
_cell_length_b 8.3277
_cell_length_c 8.5445
_cell_angle_alpha 90.00
_cell_angle_beta 90.00
_cell_angle_gamma 90.00
loop_
_atom_site_label
_atom_site_type_symbol
_atom_site_fract_x
_atom_site_fract_y
_atom_site_fract_z
_atom_site_occupancy
Li1 Li 0.0007 0.2470 0.3713 1
Mn1 Mn 0.1219 0.3773 0.7538 1
Mn2 Mn 0.1297 0.8703 0.2500 1
Fe1 Fe 0.1230 0.1230 0.0000 1
O1 O 0.1074 0.1450 0.7608 1
O2 O 0.1096 0.3725 0.9813 1
O3 O 0.1153 0.6323 0.2724 1
O4 O 0.1153 0.8503 0.5053 1
```

## Properties
Uncorrected energy   -377.980 eV/cell
M_tot   60.000 μB/cell
Theoretical density   4.06 g/cm³